Entry 1:
Density functional theory data (PBE-GGA) for a relaxed GaBP2Pt crystal.

```
data_GaBP2Pt
_chemical_formula_sum 'Ga1 B1 P2 Pt1'
_cell_length_a 4.893
_cell_length_b 3.948
_cell_length_c 4.893
_cell_angle_alpha 90.00
_cell_angle_beta 90.00
_cell_angle_gamma 90.00
_symmetry_space_group_name_H-M 'P 1'
_symmetry_Int_Tables_number 1
loop_
_symmetry_equiv_pos_as_xyz
'x,y,z'
loop_
_atom_site_label
_atom_site_type_symbol
_atom_site_fract_x
_atom_site_fract_y
_atom_site_fract_z
P1 P 0.000 0.000 0.500
P2 P 0.500 0.000 0.000
B1 B 0.000 0.500 0.000
Ga1 Ga 0.500 0.500 0.500
Pt1 Pt 0.000 0.000 0.000
```

## Properties
Symmetry = P4/mmm, No. 123
Volume = 18.9 A^3/atom
Formation enthalpy at 0 K = 0.73 eV/atom
Electronic total energy = -22.93 eV for the cell shown
N(E_F) = 2.88 states/eV/cell

Entry 2:
Density functional theory data (PBE-GGA) for a relaxed CaPr3Sm6 crystal.

```
data_CaPr3Sm6
_chemical_formula_sum 'Ca1 Pr3 Sm6'
_cell_length_a 6.817
_cell_length_b 9.500
_cell_length_c 9.850
_cell_angle_alpha 138.71
_cell_angle_beta 110.25
_cell_angle_gamma 90.00
_symmetry_space_group_name_H-M 'P 1'
_symmetry_Int_Tables_number 1
loop_
_symmetry_equiv_pos_as_xyz
'x,y,z'
loop_
_atom_site_label
_atom_site_type_symbol
_atom_site_fract_x
_atom_site_fract_y
_atom_site_fract_z
Ca1 Ca 0.500 0.500 0.000
Pr1 Pr 0.570 0.961 0.141
Pr2 Pr 0.430 0.039 0.859
Pr3 Pr 0.000 0.000 0.000
Sm1 Sm 0.442 0.573 0.382
Sm2 Sm 0.060 0.427 0.618
Sm3 Sm 0.558 0.427 0.618
Sm4 Sm 0.940 0.573 0.382
Sm5 Sm 0.134 0.847 0.268
Sm6 Sm 0.866 0.153 0.732
```

## Properties
Symmetry = C2/m, No. 12
Volume = 35.8 A^3/atom
Formation enthalpy at 0 K = 0.23 eV/atom
Electronic total energy = -42.34 eV for the cell shown
N(E_F) = 18.34 states/eV/cell